# Co3PdBr, relaxed, DFT GGA-PBE
# DFT total energy ... -4.555 eV per atom
# N(E_F) ... 7.99 states/eV/f.u.
# Formation energy without anion corrections ... 1.082 eV per atom
data_Co3PdBr
_chemical_formula_sum 'Co3 Pd1 Br1'
_space_group_name_H-M_alt 'P m -3 m'
_space_group_IT_number 221
_space_group_name_Hall '-P 4 2 3'
_cell_length_a 4.3065
_cell_length_b 4.3065
_cell_length_c 4.3065
_cell_angle_alpha 90.00
_cell_angle_beta 90.00
_cell_angle_gamma 90.00
loop_
_atom_site_label
_atom_site_type_symbol
_atom_site_fract_x
_atom_site_fract_y
_atom_site_fract_z
Co1 Co 0.0000 0.0000 0.5000
Pd1 Pd 0.5000 0.5000 0.5000
Br1 Br 0.0000 0.0000 0.0000